[1]
{
  "formula": "Al2TlHg2",
  "functional": "PBE-GGA",
  "state": "relaxed",
  "sg": "I4/mmm",
  "relative_energy_mev_per_atom": 15,
  "crystal_system": "tetragonal",
  "cell": [[-1.625, 4.014, 1.458], [-2.608, -2.169, 3.062], [2.206, 1.251, 6.174]],
  "species": ["Tl", "Hg", "Hg", "Al", "Al"],
  "fractional_positions": [[0.000, 0.000, 0.000], [0.750, 0.250, 0.500], [0.250, 0.750, 0.500], [0.388, 0.388, 0.223], [0.612, 0.612, 0.777]]
}

[2]
{
  "formula": "Sr2CaAcHg4",
  "functional": "PBE-GGA",
  "state": "relaxed",
  "sg": "R-3m",
  "crystal_system": "trigonal",
  "cell": [[-2.349, -2.494, -4.443], [3.207, -1.737, -4.263], [1.268, -9.583, 1.166]],
  "species": ["Sr", "Sr", "Ca", "Ac", "Hg", "Hg", "Hg", "Hg"],
  "fractional_positions": [[0.753, 0.753, 0.741], [0.247, 0.247, 0.259], [0.500, 0.500, 0.500], [0.000, 0.000, 0.000], [0.377, 0.377, 0.869], [0.874, 0.874, 0.377], [0.126, 0.126, 0.623], [0.623, 0.623, 0.131]]
}

[3]
{
  "formula": "PrTh2Pt9",
  "functional": "PBE-GGA",
  "state": "relaxed",
  "sg": "R-3m",
  "relative_energy_mev_per_atom": 86,
  "crystal_system": "trigonal",
  "cell": [[-3.253, -4.391, 0.342], [-1.555, -2.616, -4.551], [5.641, -7.656, -0.820]],
  "species": ["Pr", "Th", "Th", "Pt", "Pt", "Pt", "Pt", "Pt", "Pt", "Pt", "Pt", "Pt"],
  "fractional_positions": [[0.000, 0.000, 0.000], [0.862, 0.862, 0.413], [0.138, 0.138, 0.587], [0.667, 0.667, 0.999], [0.333, 0.333, 0.001], [0.500, 0.500, 0.500], [0.413, 0.413, 0.256], [0.919, 0.413, 0.256], [0.413, 0.919, 0.256], [0.587, 0.587, 0.744], [0.587, 0.081, 0.744], [0.081, 0.587, 0.744]]
}

[4]
{
  "formula": "CdInOs2",
  "functional": "PBE-GGA",
  "state": "relaxed",
  "sg": "I-4m2",
  "crystal_system": "tetragonal",
  "cell": [[4.881, -0.016, 0.000], [1.299, 4.705, 0.000], [-3.090, -2.345, 2.963]],
  "species": ["Cd", "Os", "Os", "In"],
  "fractional_positions": [[0.500, 0.500, 0.000], [0.000, 0.000, 0.000], [0.250, 0.750, 0.500], [0.750, 0.250, 0.500]]
}

[5]
{
  "formula": "AlIrRu",
  "functional": "PBE-GGA",
  "state": "relaxed",
  "sg": "Cmcm",
  "relative_energy_mev_per_atom": 113,
  "crystal_system": "orthorhombic",
  "cell": [[4.334, 0.000, 0.000], [0.000, 5.254, 0.000], [0.000, 0.000, 7.543]],
  "species": ["Ru", "Ru", "Ru", "Ru", "Al", "Al", "Al", "Al", "Ir", "Ir", "Ir", "Ir"],
  "fractional_positions": [[0.500, 0.250, 0.750], [0.000, 0.750, 0.250], [0.500, 0.750, 0.750], [0.000, 0.250, 0.250], [0.000, 0.500, 0.585], [0.000, 0.000, 0.915], [0.500, 0.000, 0.415], [0.500, 0.500, 0.085], [0.000, 0.000, 0.582], [0.000, 0.500, 0.918], [0.500, 0.000, 0.082], [0.500, 0.500, 0.418]]
}

[6]
{
  "formula": "Hf2NbIr2",
  "functional": "PBE-GGA",
  "state": "relaxed",
  "sg": "P4/mbm",
  "relative_energy_mev_per_atom": 91,
  "crystal_system": "tetragonal",
  "cell": [[7.822, 0.000, 0.000], [0.000, 7.822, 0.000], [0.000, 0.000, 2.994]],
  "species": ["Nb", "Nb", "Ir", "Ir", "Ir", "Ir", "Hf", "Hf", "Hf", "Hf"],
  "fractional_positions": [[0.000, 0.000, 0.000], [0.500, 0.500, 0.000], [0.149, 0.649, 0.500], [0.649, 0.851, 0.500], [0.851, 0.351, 0.500], [0.351, 0.149, 0.500], [0.350, 0.850, 0.000], [0.850, 0.650, 0.000], [0.650, 0.150, 0.000], [0.150, 0.350, 0.000]]
}

Number 1: energy relative to the elements 0.15 eV/atom, E_tot -9.71 eV/cell. Number 2: energy relative to the elements -0.53 eV/atom, E_tot -14.89 eV/cell. Number 3: energy relative to the elements -0.96 eV/atom, E_tot -85.49 eV/cell. Number 4: energy relative to the elements 0.74 eV/atom, E_tot -23.17 eV/cell. Number 5: energy relative to the elements -0.27 eV/atom, E_tot -90.76 eV/cell. Number 6: energy relative to the elements -0.47 eV/atom, E_tot -100.07 eV/cell.